TiIn2Cu after structural relaxation. Source: Alexandria via LeMat-Bulk, functional PBE-GGA.

The formation energy is 0.379 eV per atom. Its crystal system is trigonal. The calculation puts the density of states at the Fermi level at 8.15 states/eV/cell. Its total magnetization is 0.0002 μB per atom. The total energy is -3.99 eV per atom. As for the calculated density: 6.820 g/cm³.

The structure belongs to space group R-3m (No. 166, hexagonal axes); the cell edges are 3.0921, 3.0921 and 30.0864 Å and the angles 90.00°, 90.00° and 120.00°. The inequivalent atoms are Ti at (0.0000, 0.0000, 0.0000), In at (0.0000, 0.0000, 0.0942) and Cu at (0.0000, 0.0000, 0.5000).